TlZn2Mo at its PBEsol-relaxed geometry, computed with meta-GGA SCAN.

abc: 3.888 3.888 5.196
angles: 111.97 111.97 90.00
Site moments in Bohr magnetons follow the coordinates.
Atoms (fractional coordinates):
Zn 0.750 0.250 0.500  0.02
Tl 0.000 0.000 0.000  -0.02
Mo 0.500 0.500 0.000  0.77
Zn 0.250 0.750 0.500  0.02

Output
Energy above the most stable polymorph in this dataset, meV per atom: 0.0
Total moment, μB/cell: 0.9
Total energy, eV per atom: -33.0988